1.
This record from the Alexandria database describes an optimized crystal structure of Sm6YHo3. The functional is PBE-GGA.

Its energy above the most stable polymorph in this dataset is 0.00 eV per formula unit. As for the crystal system: orthorhombic. The final energy is -189.008 eV/cell. The energy relative to the elements comes out at 0.13 eV/atom.

The structure belongs to space group Cmc2_1 (No. 36); the cell edges are 9.746, 21.273 and 6.412 Å and the angles 90.00°, 90.00° and 90.00°. Symmetry generates all atoms from Sm at (0.000, 0.015, 0.000), Sm at (0.000, 0.302, 0.982), Sm at (0.175, 0.281, 0.511), Sm at (0.180, 0.440, 0.757), Y at (0.000, 0.159, 0.200), Ho at (0.000, 0.420, 0.279) and Ho at (0.168, 0.126, 0.677).


2.
This record from the Alexandria database describes an optimized crystal structure of Sm5Y5Ho. The functional is PBE-GGA.

Its energy above the most stable polymorph in this dataset is 0.50 eV per formula unit. As for the crystal system: hexagonal. The final energy is -57.037 eV/cell. The energy relative to the elements comes out at 0.31 eV/atom.

The structure belongs to space group P-6m2 (No. 187); the cell edges are 6.1428, 6.1428 and 11.4827 Å and the angles 90.00°, 90.00° and 120.00°. Symmetry generates all atoms from Sm at (0.0000, 0.0000, 0.2363), Sm at (0.3398, 0.1699, 0.0000), Y at (0.0000, 0.0000, 0.5000), Y at (0.3333, 0.6667, 0.1817), Y at (0.6667, 0.3333, 0.3405) and Ho at (0.3333, 0.6667, 0.5000).


3.
This record from the Alexandria database describes an optimized crystal structure of SmYHo5. The functional is PBE-GGA.

Its energy above the most stable polymorph in this dataset is 6.49 eV per formula unit. As for the crystal system: orthorhombic. The final energy is -52.518 eV/cell. The energy relative to the elements comes out at 1.12 eV/atom.

The structure belongs to space group Immm (No. 71); the cell edges are 5.773, 8.590 and 11.909 Å and the angles 90.00°, 90.00° and 90.00°. Symmetry generates all atoms from Sm at (0.000, 0.000, 0.000), Y at (0.000, 0.000, 0.500), Ho at (0.000, 0.000, 0.244), Ho at (0.000, 0.322, 0.000) and Ho at (0.000, 0.500, 0.500).


4.
This record from the Alexandria database describes an optimized crystal structure of Sm4Y9Ho11. The functional is PBE-GGA.

As for the crystal system: orthorhombic. The final energy is -252.504 eV/cell. The energy relative to the elements comes out at 0.05 eV/atom.

The structure belongs to space group Cmmm (No. 65); the cell edges are 16.707, 25.102 and 3.683 Å and the angles 90.00°, 90.00° and 90.00°. Symmetry generates all atoms from Sm at (0.154, 0.101, 0.000), Y at (0.000, 0.000, 0.000), Y at (0.102, 0.236, 0.000), Y at (0.140, 0.427, 0.000), Ho at (0.000, 0.134, 0.500), Ho at (0.000, 0.341, 0.500), Ho at (0.000, 0.500, 0.500), Ho at (0.210, 0.000, 0.500) and Ho at (0.227, 0.319, 0.500).


5.
This record from the Alexandria database describes an optimized crystal structure of SmY8Ho2. The functional is PBE-GGA.

Its energy above the most stable polymorph in this dataset is 0.19 eV per formula unit. As for the crystal system: monoclinic. The final energy is -127.253 eV/cell. The energy relative to the elements comes out at 0.18 eV/atom.

The structure belongs to space group Cm (No. 8); the cell edges are 10.183, 13.282 and 5.425 Å and the angles 90.00°, 90.20° and 90.00°. Symmetry generates all atoms from Sm at (0.000, 0.000, 0.000), Y at (0.001, 0.255, 0.000), Y at (0.165, 0.500, 0.000), Y at (0.166, 0.135, 0.501), Y at (0.334, 0.365, 0.499), Y at (0.335, 0.000, 0.000) and Ho at (0.000, 0.381, 0.500).


6.
This record from the Alexandria database describes an optimized crystal structure of SmY5Ho4. The functional is PBE-GGA.

As for the crystal system: tetragonal. The final energy is -104.586 eV/cell. The energy relative to the elements comes out at 0.31 eV/atom.

The structure belongs to space group I4 (No. 79); the cell edges are 10.215, 10.215 and 6.304 Å and the angles 90.00°, 90.00° and 90.00°. Symmetry generates all atoms from Sm at (0.000, 0.000, 0.000), Y at (0.000, 0.000, 0.545), Y at (0.146, 0.234, 0.271) and Ho at (0.050, 0.350, 0.770).